This record from the Alexandria database describes SrPuCuS4 after structural relaxation. The functional is PBE.

Cell lengths 6.7658, 5.5280, 8.3596 Å; angles 90.00, 107.28, 90.00 degrees
Closest atoms and distances in Å follow each position.
Space group P2_1/m (No. 11)
Asymmetric unit:
Sr 0.2304 0.2500 0.4367  8 S 2.94-3.24
Pu 0.2346 0.2500 0.9377  8 S 2.71-2.95
Cu 0.2562 0.7500 0.1875  4 S 2.25-2.27
S 0.0612 0.7500 0.3641  1 Cu 2.25
S 0.0777 0.7500 0.9129  1 Cu 2.25
S 0.4799 0.5180 0.7710  1 Cu 2.27

**E_form (uncorrected)**: -1262 meV per atom